(i)
The following is a PBE-GGA calculation of a geometry-optimized La3PmHo2 structure, from the Alexandria database.

## Properties
Total moment, μB/f.u.: 0.0
Space-group type: Immm

Structure (POSCAR):
```
La3PmHo2
1.0
-1.557 -0.316 3.122
-1.969 -5.482 -1.536
10.034 -1.114 2.925
La Ho Pm
3 2 1
direct
0.811 0.811 0.622 La
0.000 0.500 0.000 La
0.189 0.189 0.378 La
0.637 0.637 0.275 Ho
0.363 0.363 0.725 Ho
0.000 0.000 0.000 Pm
```



(ii)
The following is a PBE-GGA calculation of a geometry-optimized La3PmHo2 structure, from the Alexandria database.

## Properties
Total moment, μB/f.u.: 0.0
Space-group type: C2/c

Structure (POSCAR):
```
La3PmHo2
1.0
5.922 1.267 -1.792
0.449 6.039 -1.792
-0.678 -0.778 12.119
Ho La Pm
4 6 2
direct
0.709 0.959 0.419 Ho
0.291 0.041 0.581 Ho
0.959 0.709 0.919 Ho
0.041 0.291 0.081 Ho
0.208 0.458 0.417 La
0.625 0.375 0.250 La
0.542 0.792 0.083 La
0.458 0.208 0.917 La
0.792 0.542 0.583 La
0.375 0.625 0.750 La
0.125 0.875 0.250 Pm
0.875 0.125 0.750 Pm
```



Energies relative to the minimum, eV/atom: (i) 0.280; (ii) 0.000



(i)
The following is a PBE-GGA calculation of a geometry-optimized La3Pm2Ho2 structure, from the Alexandria database.

## Properties
Total moment, μB/f.u.: 0.0
Space-group type: P-1

Structure (POSCAR):
```
La3Pm2Ho2
1.0
3.607 -0.430 0.490
-0.753 11.837 2.176
1.172 1.181 6.117
Pm La Ho
2 3 2
direct
0.858 0.143 0.426 Pm
0.142 0.857 0.574 Pm
0.574 0.429 0.284 La
0.000 0.000 0.000 La
0.426 0.571 0.716 La
0.287 0.715 0.140 Ho
0.713 0.285 0.860 Ho
```



(ii)
The following is a PBE-GGA calculation of a geometry-optimized La3Pm2Ho2 structure, from the Alexandria database.

## Properties
Total moment, μB/f.u.: 0.0
Space-group type: C2/m

Structure (POSCAR):
```
La3Pm2Ho2
1.0
-2.656 1.585 -1.751
-0.018 -6.458 -5.819
-3.881 -1.519 8.117
La Ho Pm
3 2 2
direct
0.000 0.500 0.000 La
0.213 0.794 0.427 La
0.787 0.206 0.573 La
0.855 0.671 0.710 Ho
0.145 0.329 0.290 Ho
0.564 0.912 0.129 Pm
0.436 0.088 0.871 Pm
```



Energies relative to the minimum, eV/atom: (i) 0.000; (ii) 0.089



(i)
The following is a PBE-GGA calculation of a geometry-optimized LaPm5Ho3 structure, from the Alexandria database.

## Properties
Total moment, μB/f.u.: 0.0
Space-group type: Cmcm

Structure (POSCAR):
```
LaPm5Ho3
1.0
9.403 0.000 0.000
-4.702 8.798 -0.954
0.000 0.788 7.263
Pm Ho La
10 6 2
direct
0.511 0.669 0.500 Pm
0.158 0.669 0.500 Pm
0.489 0.331 0.500 Pm
0.665 0.000 0.250 Pm
0.842 0.331 0.500 Pm
0.489 0.331 0.000 Pm
0.842 0.331 0.000 Pm
0.335 0.000 0.750 Pm
0.511 0.669 0.000 Pm
0.158 0.669 0.000 Pm
0.000 0.000 0.500 Ho
0.000 0.000 0.000 Ho
0.177 0.356 0.750 Ho
0.822 0.644 0.750 Ho
0.823 0.644 0.250 Ho
0.178 0.356 0.250 Ho
0.303 0.000 0.250 La
0.697 0.000 0.750 La
```



(ii)
The following is a PBE-GGA calculation of a geometry-optimized LaPm5Ho3 structure, from the Alexandria database.

## Properties
Total moment, μB/f.u.: 0.0
Space-group type: I4/mcm

Structure (POSCAR):
```
LaPm5Ho3
1.0
-7.266 0.590 4.581
2.640 -6.475 5.022
5.929 8.328 0.241
Ho La Pm
6 2 10
direct
0.624 0.124 0.000 Ho
0.376 0.876 0.000 Ho
0.250 0.250 0.500 Ho
0.750 0.750 0.500 Ho
0.124 0.376 0.000 Ho
0.876 0.624 0.000 Ho
0.750 0.250 0.500 La
0.250 0.750 0.500 La
0.058 0.558 0.723 Pm
0.500 0.500 0.000 Pm
0.666 0.166 0.723 Pm
0.834 0.942 0.277 Pm
0.000 0.000 0.000 Pm
0.334 0.834 0.277 Pm
0.166 0.058 0.723 Pm
0.442 0.334 0.277 Pm
0.942 0.442 0.277 Pm
0.558 0.666 0.723 Pm
```



Energies relative to the minimum, eV/atom: (i) 0.000; (ii) 0.140



(i)
The following is a PBE-GGA calculation of a geometry-optimized La4Pm2Ho5 structure, from the Alexandria database.

## Properties
Total moment, μB/f.u.: 0.0
Space-group type: C2/m

Structure (POSCAR):
```
La4Pm2Ho5
1.0
3.492 0.000 -0.659
-0.283 11.716 -1.500
-0.093 0.446 9.080
Ho Pm La
5 2 4
direct
0.500 0.000 0.000 Ho
0.097 0.541 0.193 Ho
0.822 0.932 0.644 Ho
0.903 0.459 0.807 Ho
0.178 0.068 0.356 Ho
0.286 0.646 0.572 Pm
0.714 0.354 0.428 Pm
0.963 0.740 0.927 La
0.359 0.203 0.718 La
0.037 0.260 0.073 La
0.641 0.797 0.282 La
```



(ii)
The following is a PBE-GGA calculation of a geometry-optimized La4Pm2Ho5 structure, from the Alexandria database.

## Properties
Total moment, μB/f.u.: 0.0
Space-group type: C2/m

Structure (POSCAR):
```
La4Pm2Ho5
1.0
3.548 0.000 0.000
0.000 8.553 -1.857
-1.774 -5.132 13.609
Ho Pm La
5 2 4
direct
0.812 0.094 0.624 Ho
0.188 0.906 0.376 Ho
0.868 0.787 0.736 Ho
0.500 0.000 0.000 Ho
0.132 0.213 0.264 Ho
0.274 0.375 0.548 Pm
0.726 0.625 0.452 Pm
0.590 0.482 0.180 La
0.041 0.741 0.082 La
0.959 0.259 0.918 La
0.410 0.518 0.820 La
```



Energies relative to the minimum, eV/atom: (i) 0.000; (ii) 0.037



(i)
The following is a PBE-GGA calculation of a geometry-optimized LaPm8Ho6 structure, from the Alexandria database.

## Properties
Total moment, μB/f.u.: 0.0
Space-group type: R-3

Structure (POSCAR):
```
LaPm8Ho6
1.0
-5.398 6.744 3.432
-5.654 -1.765 7.164
1.238 3.404 7.846
Pm La Ho
8 1 6
direct
0.227 0.915 0.520 Pm
0.773 0.085 0.480 Pm
0.085 0.661 0.480 Pm
0.339 0.227 0.520 Pm
0.915 0.339 0.520 Pm
0.427 0.427 0.718 Pm
0.573 0.573 0.282 Pm
0.661 0.773 0.480 Pm
0.000 0.000 0.000 La
0.893 0.736 0.921 Ho
0.550 0.107 0.079 Ho
0.264 0.550 0.079 Ho
0.736 0.450 0.921 Ho
0.450 0.893 0.921 Ho
0.107 0.264 0.079 Ho
```



(ii)
The following is a PBE-GGA calculation of a geometry-optimized LaPm8Ho6 structure, from the Alexandria database.

## Properties
Total moment, μB/f.u.: 0.0
Space-group type: P-3

Structure (POSCAR):
```
LaPm8Ho6
1.0
6.644 0.000 0.000
0.000 8.214 -4.742
0.000 0.000 9.485
Pm Ho La
8 6 1
direct
0.169 0.667 0.333 Pm
0.831 0.333 0.667 Pm
0.890 0.689 0.676 Pm
0.110 0.311 0.324 Pm
0.110 0.676 0.987 Pm
0.110 0.013 0.689 Pm
0.890 0.987 0.311 Pm
0.890 0.324 0.013 Pm
0.605 0.914 0.590 Ho
0.605 0.410 0.324 Ho
0.395 0.086 0.410 Ho
0.395 0.590 0.676 Ho
0.605 0.676 0.086 Ho
0.395 0.324 0.914 Ho
0.500 0.000 0.000 La
```



Energies relative to the minimum, eV/atom: (i) 0.000; (ii) 0.048



(i)
The following is a PBE-GGA calculation of a geometry-optimized LaPm2Ho3 structure, from the Alexandria database.

## Properties
Total moment, μB/f.u.: 0.0
Space-group type: C2/m

Structure (POSCAR):
```
LaPm2Ho3
1.0
1.766 11.463 1.930
-1.766 11.463 1.930
0.000 1.667 10.304
Ho Pm La
6 4 2
direct
0.304 0.304 0.716 Ho
0.932 0.932 0.757 Ho
0.696 0.696 0.284 Ho
0.560 0.560 0.551 Ho
0.440 0.440 0.449 Ho
0.068 0.068 0.243 Ho
0.309 0.309 0.372 Pm
0.934 0.934 0.144 Pm
0.691 0.691 0.628 Pm
0.066 0.066 0.856 Pm
0.315 0.315 0.036 La
0.685 0.685 0.964 La
```



(ii)
The following is a PBE-GGA calculation of a geometry-optimized LaPm2Ho3 structure, from the Alexandria database.

## Properties
Total moment, μB/f.u.: 0.0
Space-group type: P-3m1

Structure (POSCAR):
```
LaPm2Ho3
1.0
-4.951 4.952 -0.466
0.132 -5.276 -4.626
-5.693 -5.154 5.716
Pm Ho La
4 6 2
direct
0.000 0.000 0.500 Pm
0.667 0.333 0.928 Pm
0.333 0.667 0.072 Pm
0.000 0.000 0.000 Pm
0.184 0.816 0.751 Ho
0.633 0.816 0.751 Ho
0.367 0.184 0.249 Ho
0.816 0.184 0.249 Ho
0.816 0.633 0.249 Ho
0.184 0.367 0.751 Ho
0.333 0.667 0.418 La
0.667 0.333 0.582 La
```



Energies relative to the minimum, eV/atom: (i) 0.000; (ii) 0.142